*A*
# TcSbOs (PBEsol, relaxed)
# Fermi-level density of states = 9.5 states/eV/cell
data_TcSbOs
_cell_length_a 6.036
_cell_length_b 6.036
_cell_length_c 6.036
_cell_angle_alpha 90.00
_cell_angle_beta 90.00
_cell_angle_gamma 90.00
_symmetry_space_group_name_H-M 'F -4 3 m'
_symmetry_Int_Tables_number 216
_symmetry_space_group_name_Hall 'F -4 2 3'
loop_
_atom_site_label
_atom_site_fract_x
_atom_site_fract_y
_atom_site_fract_z
Tc1 0.000 0.000 0.000
Sb1 0.250 0.250 0.750
Os1 0.250 0.250 0.250



*B*
# TcSbOs (PBEsol, relaxed)
# Fermi-level density of states = 3.1 states/eV/cell
data_TcSbOs
_cell_length_a 2.948
_cell_length_b 2.948
_cell_length_c 11.310
_cell_angle_alpha 90.00
_cell_angle_beta 90.00
_cell_angle_gamma 90.00
_symmetry_space_group_name_H-M 'I 4 m m'
_symmetry_Int_Tables_number 107
_symmetry_space_group_name_Hall 'I 4 -2'
loop_
_atom_site_label
_atom_site_fract_x
_atom_site_fract_y
_atom_site_fract_z
Tc1 0.000 0.000 0.000
Sb1 0.000 0.000 0.321
Os1 0.000 0.000 0.637



Which one is most stable, and which one is least stable? *B* is the most stable of them, while *A* is the least stable.



*A*
# LiBe2Re (PBEsol, relaxed)
# Fermi-level density of states = 11.4 states/eV/cell
data_LiBe2Re
_cell_length_a 5.519
_cell_length_b 5.519
_cell_length_c 5.519
_cell_angle_alpha 90.00
_cell_angle_beta 90.00
_cell_angle_gamma 90.00
_symmetry_space_group_name_H-M 'F m -3 m'
_symmetry_Int_Tables_number 225
_symmetry_space_group_name_Hall '-F 4 2 3'
loop_
_atom_site_label
_atom_site_fract_x
_atom_site_fract_y
_atom_site_fract_z
Li1 0.000 0.000 0.000
Be1 0.250 0.250 0.250
Re1 0.000 0.000 0.500



*B*
# LiBe2Re (PBEsol, relaxed)
# Fermi-level density of states = 1.4 states/eV/cell
data_LiBe2Re
_cell_length_a 2.487
_cell_length_b 3.993
_cell_length_c 4.634
_cell_angle_alpha 90.00
_cell_angle_beta 90.00
_cell_angle_gamma 90.00
_symmetry_space_group_name_H-M 'P m m 2'
_symmetry_Int_Tables_number 25
loop_
_symmetry_equiv_pos_as_xyz
'x,y,z'
'-x,-y,z'
'-x,y,z'
'x,-y,z'
loop_
_atom_site_label
_atom_site_fract_x
_atom_site_fract_y
_atom_site_fract_z
Li1 0.000 0.000 0.000
Be1 0.000 0.000 0.478
Be2 0.500 0.500 0.823
Re1 0.500 0.500 0.325



Which one is most stable, and which one is least stable? *B* is the most stable of them, while *A* is the least stable.